Below is a relaxed NdHoAl crystal, with properties calculated at the PBE level.

Lattice parameters (Å, degrees): 3.4863 3.4863 7.2756 103.86 103.86 90.00
Closest atoms and distances in Å follow each position.
Atoms (fractional coordinates):
Nd 0.5995 0.5995 0.1990  4 Al 3.24, 4 Nd 3.49
Ho 0.3050 0.3050 0.6100  4 Al 3.13, 4 Ho 3.49
Al 0.9455 0.9455 0.8910  4 Ho 3.13, 4 Nd 3.24, 4 Al 3.49

**Energy**: -13.76 eV per cell
**Energy relative to the elements**: -5.147 kcal/mol of atoms
**Energy above the lowest structure with this stoichiometry**: 3 meV per atom

---

Below is a relaxed TeP3Cl crystal, with properties calculated at the PBE level.

Lattice parameters (Å, degrees): 4.6959 4.6959 4.6959 90.00 90.00 90.00
Closest atoms and distances in Å follow each position.
Atoms (fractional coordinates):
P 0.0000 0.5000 0.0000  2 Cl 2.35
P 0.0000 0.0000 0.5000  2 Cl 2.35
P 0.5000 0.0000 0.0000  2 Cl 2.35
Te 0.5000 0.5000 0.5000  12 P 3.32
Cl 0.0000 0.0000 0.0000  6 P 2.35

**Energy**: -14.64 eV per cell
**Energy above the lowest structure with this stoichiometry**: 0 meV per atom

---

Q: Look up the energy above the lowest structure with this stoichiometry of the second one.
A: 0 meV per atom

---

Q: Number 2 is which compound?
A: TeP3Cl

---

Q: Among the records above, which one has the lowest energy?
A: TeP3Cl